Material: MgHgMo2O8
Method: DFT, PBE+U
State: relaxed

Cell lengths 6.0775, 6.0775, 6.0775 Å; angles 108.66, 108.66, 111.11 degrees
Sites, in units of the cell vectors:
Mg: 0.0000 0.0000 0.0000
Hg: 0.2500 0.7500 0.5000
Mo: 0.5000 0.5000 0.0000
Mo: 0.7500 0.2500 0.5000
O: 0.3355 0.1399 0.8044
O: 0.3355 0.5312 0.1956
O: 0.3902 0.0996 0.2906
O: 0.4688 0.6645 0.8044
O: 0.8091 0.0996 0.7094
O: 0.8601 0.6645 0.1956
O: 0.9004 0.1909 0.2906
O: 0.9004 0.6098 0.7094

Summary:
Energy = -73.5 eV per cell
Magnetic moment = 0.00 μB/atom